[1]
Nd3N (PBE-GGA, optimized geometry); total magnetic moment = 0.0 μB/cell; E_tot = -6.2151 eV/atom; excess energy over the best structure of this formula in the dataset = 55.7 meV per atom; Fermi-level density of states = 4.61 states/eV/f.u.
1.0
6.0884 0.0000 0.0000
0.0000 7.2467 0.0000
0.0000 0.0000 9.7357
Nd N
12 4
direct
0.7042 0.4999 0.7500
0.2485 0.2509 0.5731
0.2485 0.2509 0.9269
0.7515 0.7491 0.0731
0.2042 0.0001 0.2500
0.7958 0.9999 0.7500
0.7485 0.2491 0.4269
0.7515 0.7491 0.4269
0.7485 0.2491 0.0731
0.2958 0.5001 0.2500
0.2515 0.7509 0.5731
0.2515 0.7509 0.9269
0.5000 0.5000 0.5000
0.0000 0.0000 0.5000
0.0000 0.0000 0.0000
0.5000 0.5000 0.0000

[2]
SmErSc2P4 (PBE-GGA, optimized geometry); total magnetic moment = 0.0 μB/cell; ΔH_f (0 K) = -146.3 kJ/mol of atoms; E_tot = -6.9648 eV/atom; Fermi-level density of states = 0.93 states/eV/f.u.
1.0
3.9068 0.0000 0.0000
0.0000 6.7398 -0.1240
0.0000 2.3799 6.3295
Er Sm Sc P
1 1 2 4
direct
0.0000 0.5000 0.5000
0.5000 0.5000 0.0000
0.5000 0.0000 0.5000
0.0000 0.0000 0.0000
0.5000 0.2344 0.7512
0.5000 0.7656 0.2488
0.0000 0.2313 0.2603
0.0000 0.7687 0.7397

[3]
LiIrRh2 (PBE-GGA, optimized geometry); total magnetic moment = 0.0 μB/cell; ΔH_f (0 K) = -6.4 kJ/mol of atoms; E_tot = -6.4356 eV/atom; excess energy over the best structure of this formula in the dataset = 56.5 meV per atom; Fermi-level density of states = 3.95 states/eV/f.u.
1.0
-4.4338 0.5980 1.3638
-2.0487 -4.1211 0.8338
4.0360 1.8788 1.4339
Ir Li Rh
1 1 2
direct
0.5000 0.5000 0.0000
0.7500 0.2500 0.5000
0.0000 0.0000 0.0000
0.2500 0.7500 0.5000

[4]
HoErGa (PBE-GGA, optimized geometry); total magnetic moment = 0.0 μB/cell; ΔH_f (0 K) = -36.9 kJ/mol of atoms; E_tot = -4.4385 eV/atom; excess energy over the best structure of this formula in the dataset = 8.5 meV per atom; Fermi-level density of states = 2.25 states/eV/f.u.
1.0
-1.3543 2.4044 2.0523
-2.5093 0.5403 -2.2888
-1.6953 -5.9978 3.0264
Ga Ho Er
1 1 1
direct
0.6172 0.6172 0.2344
0.9700 0.9700 0.9400
0.2628 0.2628 0.5256

[5]
AcLa4 (PBE-GGA, optimized geometry); total magnetic moment = 0.0 μB/cell; ΔH_f (0 K) = 2.0 kJ/mol of atoms; E_tot = -4.7431 eV/atom; excess energy over the best structure of this formula in the dataset = 2.8 meV per atom; Fermi-level density of states = 7.79 states/eV/f.u.
1.0
3.6603 0.0009 -0.9120
-0.3736 5.8010 -1.5121
0.3486 -0.6756 9.2146
La Ac
4 1
direct
0.7135 0.2140 0.4282
0.4007 0.4010 0.8021
0.2865 0.7860 0.5718
0.5993 0.5990 0.1979
0.0000 0.0000 0.0000

[6]
SrTi2Bi2 (PBE-GGA, optimized geometry); total magnetic moment = 4.1 μB/cell; ΔH_f (0 K) = -4.8 kJ/mol of atoms; E_tot = -5.0962 eV/atom; excess energy over the best structure of this formula in the dataset = 263.0 meV per atom; Fermi-level density of states = 6.29 states/eV/f.u.
1.0
-1.6147 -6.2053 5.5430
8.2386 -1.9829 0.1801
0.5040 2.3460 2.7731
Ti Sr Bi
4 2 4
direct
0.3745 0.1255 0.5000
0.8745 0.3745 0.5000
0.1255 0.6255 0.5000
0.6255 0.8745 0.5000
0.0000 0.0000 0.0000
0.5000 0.5000 0.0000
0.8471 0.6529 0.0000
0.3471 0.8471 0.0000
0.1529 0.3471 0.0000
0.6529 0.1529 0.0000

[7]
Y6Tm8Sc (PBE-GGA, optimized geometry); total magnetic moment = 0.0 μB/cell; ΔH_f (0 K) = 11.2 kJ/mol of atoms; E_tot = -5.2761 eV/atom; excess energy over the best structure of this formula in the dataset = 0.0 meV per atom; Fermi-level density of states = 22.82 states/eV/f.u.
1.0
-7.4301 4.8298 -1.2002
-7.9683 -4.0496 -0.2833
-5.7420 0.9896 6.2123
Tm Y Sc
8 6 1
direct
0.2776 0.8913 0.5740
0.1087 0.7429 0.4260
0.4241 0.4241 0.7276
0.5759 0.5759 0.2724
0.8913 0.2571 0.5740
0.2571 0.2776 0.5740
0.7429 0.7224 0.4260
0.7224 0.1087 0.4260
0.1176 0.2137 0.1240
0.8824 0.7863 0.8760
0.2137 0.5447 0.1240
0.4553 0.8824 0.8760
0.7863 0.4553 0.8760
0.5447 0.1176 0.1240
0.0000 0.0000 0.0000

[8]
Sc6Ga3Co (PBE-GGA, optimized geometry); total magnetic moment = 0.6 μB/cell; ΔH_f (0 K) = -42.4 kJ/mol of atoms; E_tot = -5.8573 eV/atom; excess energy over the best structure of this formula in the dataset = 0.0 meV per atom; Fermi-level density of states = 8.82 states/eV/f.u.
1.0
4.7513 0.0000 0.0000
0.0000 7.8442 -2.6521
0.0000 -0.0314 10.3123
Sc Ga Co
12 6 2
direct
0.2500 0.8477 0.3230
0.7500 0.7694 0.5024
0.2500 0.1310 0.1594
0.2500 0.6748 0.6666
0.7500 0.8690 0.8406
0.7500 0.1523 0.6770
0.7500 0.5394 0.9139
0.2500 0.1051 0.8578
0.7500 0.8949 0.1422
0.2500 0.2306 0.4976
0.2500 0.4606 0.0861
0.7500 0.3252 0.3334
0.7500 0.6044 0.2161
0.7500 0.2227 0.0258
0.2500 0.7773 0.9742
0.7500 0.4817 0.6218
0.2500 0.5183 0.3782
0.2500 0.3956 0.7839
0.2500 0.9579 0.5932
0.7500 0.0421 0.4068

Which formula does entry 4 have? HoErGa

The highest E_tot belongs to which entry? HoErGa

What did the fifth record say?
AcLa4 (PBE-GGA, optimized geometry); total magnetic moment = 0.0 μB/cell; ΔH_f (0 K) = 2.0 kJ/mol of atoms; E_tot = -4.7431 eV/atom; excess energy over the best structure of this formula in the dataset = 2.8 meV per atom; Fermi-level density of states = 7.79 states/eV/f.u.
1.0
3.6603 0.0009 -0.9120
-0.3736 5.8010 -1.5121
0.3486 -0.6756 9.2146
La Ac
4 1
direct
0.7135 0.2140 0.4282
0.4007 0.4010 0.8021
0.2865 0.7860 0.5718
0.5993 0.5990 0.1979
0.0000 0.0000 0.0000

The highest total magnetic moment belongs to which entry? SrTi2Bi2